[1]
This record from Alexandria via LeMat-Bulk describes an optimized crystal structure of TcSnRu2. The functional is PBE.

Cell and atoms, written as POSCAR:
```
TcSnRu2
1.0
-2.916 2.916 5.478
2.916 -2.916 5.478
2.916 2.916 -5.478
Tc Sn Ru
2 2 4
Direct
0.000 0.000 0.000
0.750 0.250 0.500
0.250 0.750 0.500
0.500 0.500 0.000
0.089 0.625 0.964
0.375 0.339 0.464
0.661 0.125 0.036
0.875 0.911 0.536
```

The calculation puts the uncorrected energy at -7.260 eV/atom. The calculation puts the energy of formation at 0.97 eV per atom.


[2]
This record from Alexandria via LeMat-Bulk describes an optimized crystal structure of Na2SiC. The functional is PBE.

Cell and atoms, written as POSCAR:
```
Na2SiC
1.0
0.000 3.275 3.275
3.275 0.000 3.275
3.275 3.275 0.000
Na Si C
2 1 1
Direct
0.250 0.250 0.250
0.750 0.750 0.750
0.000 0.000 0.000
0.500 0.500 0.500
```

The calculation puts the uncorrected energy at -2.893 eV/atom. Its raw formation energy is 1.428 eV/atom.